Entry 1:
Below is Rb2MoBr5 after structural relaxation, with properties calculated at the GGA-PBE level.

The structure in CIF format:
```
data_Rb2MoBr5
_space_group_name_H-M_alt 'C 1 c 1'
_space_group_IT_number 9
_cell_length_a 16.9424
_cell_length_b 8.1926
_cell_length_c 9.9789
_cell_angle_alpha 90.00
_cell_angle_beta 121.82
_cell_angle_gamma 90.00
loop_
_space_group_symop_operation_xyz
'x,y,z'
'x,-y,z+1/2'
'x+1/2,y+1/2,z'
'x+1/2,-y+1/2,z+1/2'
loop_
_atom_site_label
_atom_site_fract_x
_atom_site_fract_y
_atom_site_fract_z
Rb1 0.0000 0.0136 0.0000
Rb2 0.1735 0.4786 0.0356
Mo1 0.3378 0.0018 0.5202
Br1 0.0111 0.4057 0.1497
Br2 0.1641 0.0890 0.8898
Br3 0.2840 0.2906 0.3985
Br4 0.3378 0.1231 0.7706
Br5 0.3919 0.2863 0.1432
```

- ρ: 3.76 g cm⁻³
- Formation energy (no corrections): -1.11 eV per atom


Entry 2:
Below is InGeTe2I after structural relaxation, with properties calculated at the GGA-PBE level.

The structure in CIF format:
```
data_InGeTe2I
_space_group_name_H-M_alt 'P 4/m m m'
_space_group_IT_number 123
_space_group_name_Hall '-P 4 2'
_cell_length_a 5.7088
_cell_length_b 5.7088
_cell_length_c 5.7510
_cell_angle_alpha 90.00
_cell_angle_beta 90.00
_cell_angle_gamma 90.00
loop_
_atom_site_label
_atom_site_fract_x
_atom_site_fract_y
_atom_site_fract_z
In1 0.0000 0.0000 0.0000
Ge1 0.5000 0.5000 0.5000
Te1 0.0000 0.5000 0.0000
I1 0.0000 0.0000 0.5000
```

- ρ: 5.05 g cm⁻³
- N(E_F): 3.19 states/eV/cell
- Formation energy (no corrections): 0.49 eV per atom


Entry 3:
Below is RbCuO after structural relaxation, with properties calculated at the GGA-PBE level.

The structure in CIF format:
```
data_RbCuO
_space_group_name_H-M_alt 'P n m a'
_space_group_IT_number 62
_cell_length_a 9.7948
_cell_length_b 5.0044
_cell_length_c 5.7909
_cell_angle_alpha 90.00
_cell_angle_beta 90.00
_cell_angle_gamma 90.00
loop_
_space_group_symop_operation_xyz
'x,y,z'
'-x,-y,-z'
'-x+1/2,-y,z+1/2'
'x+1/2,y,-z+1/2'
'x+1/2,-y+1/2,-z+1/2'
'-x+1/2,y+1/2,z+1/2'
'-x,y+1/2,-z'
'x,-y+1/2,z'
loop_
_atom_site_label
_atom_site_fract_x
_atom_site_fract_y
_atom_site_fract_z
Rb1 0.1571 0.2500 0.0172
Cu1 0.0000 0.0000 0.5000
O1 0.0720 0.7500 0.3008
```

- ρ: 3.86 g cm⁻³
- Formation energy (no corrections): -0.96 eV per atom


- What is the formula in the third record?
  RbCuO


Please write out number 1 again, unchanged.
Below is Rb2MoBr5 after structural relaxation, with properties calculated at the GGA-PBE level.

The structure in CIF format:
```
data_Rb2MoBr5
_space_group_name_H-M_alt 'C 1 c 1'
_space_group_IT_number 9
_cell_length_a 16.9424
_cell_length_b 8.1926
_cell_length_c 9.9789
_cell_angle_alpha 90.00
_cell_angle_beta 121.82
_cell_angle_gamma 90.00
loop_
_space_group_symop_operation_xyz
'x,y,z'
'x,-y,z+1/2'
'x+1/2,y+1/2,z'
'x+1/2,-y+1/2,z+1/2'
loop_
_atom_site_label
_atom_site_fract_x
_atom_site_fract_y
_atom_site_fract_z
Rb1 0.0000 0.0136 0.0000
Rb2 0.1735 0.4786 0.0356
Mo1 0.3378 0.0018 0.5202
Br1 0.0111 0.4057 0.1497
Br2 0.1641 0.0890 0.8898
Br3 0.2840 0.2906 0.3985
Br4 0.3378 0.1231 0.7706
Br5 0.3919 0.2863 0.1432
```

- ρ: 3.76 g cm⁻³
- Formation energy (no corrections): -1.11 eV per atom